# 1
SrEuPb | PBE-GGA | relaxed

SG   F-43m (216)
Formation enthalpy at 0 K   -0.451 eV per atom
Excess energy over the best structure of this formula in the dataset   0.0 meV per atom

Unit cell a=5.654 b=5.654 c=5.654 alpha=60.00 beta=60.00 gamma=60.00
Positions (direct):
Sr 0.000 0.000 0.000
Eu 0.500 0.500 0.500
Pb 0.750 0.750 0.750

=====

# 2
SrEuPb | PBE-GGA | relaxed

SG   I4mm (107)
Formation enthalpy at 0 K   0.168 eV per atom
Excess energy over the best structure of this formula in the dataset   618.8 meV per atom

Unit cell a=10.183 b=10.183 c=10.183 alpha=159.43 beta=159.43 gamma=29.25
Positions (direct):
Sr 0.000 0.000 0.000
Eu 0.662 0.662 0.000
Pb 0.828 0.828 0.000

=====

# 3
SrEuPb4 | PBE-GGA | relaxed

SG   F-43m (216)
Formation enthalpy at 0 K   -0.390 eV per atom

Unit cell a=6.597 b=6.597 c=6.597 alpha=60.00 beta=60.00 gamma=60.00
Positions (direct):
Sr 0.000 0.000 0.000
Eu 0.750 0.750 0.750
Pb 0.375 0.375 0.375
Pb 0.375 0.375 0.874
Pb 0.375 0.874 0.375
Pb 0.874 0.375 0.375

=====

# 4
SrEuPb | PBE-GGA | relaxed

SG   P3m1 (156)
Formation enthalpy at 0 K   -0.356 eV per atom
Excess energy over the best structure of this formula in the dataset   94.2 meV per atom

Unit cell a=5.606 b=5.606 c=4.076 alpha=90.00 beta=90.00 gamma=120.00
Positions (direct):
Sr 0.000 0.000 0.000
Eu 0.333 0.667 0.554
Pb 0.667 0.333 0.334

=====

# 5
SrEu2Pb | PBE-GGA | relaxed

SG   P4/mmm (123)
Formation enthalpy at 0 K   -0.277 eV per atom
Excess energy over the best structure of this formula in the dataset   38.7 meV per atom

Unit cell a=4.025 b=4.025 c=10.032 alpha=90.00 beta=90.00 gamma=90.00
Positions (direct):
Sr 0.000 0.000 0.000
Eu 0.500 0.500 0.307
Eu 0.500 0.500 0.693
Pb 0.000 0.000 0.500

=====

# 6
TbEuPb2 | PBE-GGA | relaxed

SG   R-3m (166)
Formation enthalpy at 0 K   -0.377 eV per atom

Unit cell a=10.172 b=10.172 c=10.172 alpha=21.84 beta=21.84 gamma=21.84
Positions (direct):
Tb 0.000 0.000 0.000
Eu 0.500 0.500 0.500
Pb 0.253 0.253 0.253
Pb 0.747 0.747 0.747

=====

# 7
TbEuPb2 | PBE-GGA | relaxed

SG   P4/mmm (123)
Formation enthalpy at 0 K   -0.501 eV per atom

Unit cell a=3.605 b=3.605 c=9.191 alpha=90.00 beta=90.00 gamma=90.00
Positions (direct):
Tb 0.000 0.000 0.000
Eu 0.000 0.000 0.500
Pb 0.500 0.500 0.241
Pb 0.500 0.500 0.759

=====

# 8
Tb2EuPb | PBE-GGA | relaxed

SG   R-3m (166)
Formation enthalpy at 0 K   0.104 eV per atom
Excess energy over the best structure of this formula in the dataset   370.1 meV per atom

Unit cell a=12.499 b=12.499 c=12.499 alpha=16.51 beta=16.51 gamma=16.51
Positions (direct):
Tb 0.086 0.086 0.086
Tb 0.914 0.914 0.914
Eu 0.500 0.500 0.500
Pb 0.000 0.000 0.000